# VRhPb3 PBE-GGA optimized geometry
data_VRhPb3
_space_group_name_H-M_alt 'P m -3 m'
_space_group_IT_number 221
_space_group_name_Hall '-P 4 2 3'
_cell_length_a 5.209
_cell_length_b 5.209
_cell_length_c 5.209
_cell_angle_alpha 90.00
_cell_angle_beta 90.00
_cell_angle_gamma 90.00
loop_
_atom_site_label
_atom_site_fract_x
_atom_site_fract_y
_atom_site_fract_z
_atom_site_occupancy
V1 0.000 0.000 0.000 1
Rh1 0.500 0.500 0.500 1
Pb1 0.000 0.000 0.500 1
# Formation enthalpy at 0 K (eV/atom): 0.89

# Li6Hg2Pt PBE-GGA optimized geometry
data_Li6Hg2Pt
_space_group_name_H-M_alt 'C 1 2/m 1'
_space_group_IT_number 12
_space_group_name_Hall '-C 2y'
_cell_length_a 7.148
_cell_length_b 7.700
_cell_length_c 5.241
_cell_angle_alpha 90.00
_cell_angle_beta 95.89
_cell_angle_gamma 90.00
loop_
_atom_site_label
_atom_site_fract_x
_atom_site_fract_y
_atom_site_fract_z
_atom_site_occupancy
Li1 0.000 0.161 0.000 1
Li2 0.170 0.331 0.661 1
Hg1 0.172 0.500 0.171 1
Pt1 0.000 0.000 0.500 1
# Formation enthalpy at 0 K (eV/atom): -0.34

# Tl12SeO5 PBE-GGA optimized geometry
data_Tl12SeO5
_space_group_name_H-M_alt 'C 1 2/m 1'
_space_group_IT_number 12
_space_group_name_Hall '-C 2y'
_cell_length_a 6.496
_cell_length_b 11.251
_cell_length_c 13.351
_cell_angle_alpha 90.00
_cell_angle_beta 99.42
_cell_angle_gamma 90.00
loop_
_atom_site_label
_atom_site_fract_x
_atom_site_fract_y
_atom_site_fract_z
_atom_site_occupancy
Tl1 0.129 0.000 0.388 1
Tl2 0.130 0.334 0.390 1
Tl3 0.154 0.500 0.123 1
Tl4 0.235 0.194 0.123 1
Se1 0.000 0.000 0.000 1
O1 0.000 0.163 0.500 1
O2 0.000 0.334 0.000 1
O3 0.000 0.500 0.500 1
# Formation energy (no corrections) (eV/atom): -0.5261

# Sc2In2Pb PBE-GGA optimized geometry
data_Sc2In2Pb
_space_group_name_H-M_alt 'C 1 2/m 1'
_space_group_IT_number 12
_space_group_name_Hall '-C 2y'
_cell_length_a 10.253
_cell_length_b 4.306
_cell_length_c 6.883
_cell_angle_alpha 90.00
_cell_angle_beta 127.53
_cell_angle_gamma 90.00
loop_
_atom_site_label
_atom_site_fract_x
_atom_site_fract_y
_atom_site_fract_z
_atom_site_occupancy
Sc1 0.100 0.000 0.302 1
In1 0.198 0.500 0.100 1
Pb1 0.000 0.500 0.500 1
# Formation enthalpy at 0 K (eV/atom): -0.28

Below is a relaxed MnCo2NiH crystal, with properties calculated at the PBE-GGA level.

Cell and atoms, written as CIF:
```
data_MnCo2NiH
_space_group_name_H-M_alt 'P 4/m m m'
_space_group_IT_number 123
_space_group_name_Hall '-P 4 2'
_cell_length_a 3.604
_cell_length_b 3.604
_cell_length_c 3.563
_cell_angle_alpha 90.00
_cell_angle_beta 90.00
_cell_angle_gamma 90.00
loop_
_atom_site_label
_atom_site_fract_x
_atom_site_fract_y
_atom_site_fract_z
_atom_site_occupancy
Mn1 0.000 0.000 0.000 1
Co1 0.000 0.500 0.500 1
Ni1 0.500 0.500 0.000 1
H1 0.500 0.500 0.500 1
```

# BaSr4Pb PBE-GGA optimized geometry
data_BaSr4Pb
_space_group_name_H-M_alt 'F -4 3 m'
_space_group_IT_number 216
_space_group_name_Hall 'F -4 2 3'
_cell_length_a 10.739
_cell_length_b 10.739
_cell_length_c 10.739
_cell_angle_alpha 90.00
_cell_angle_beta 90.00
_cell_angle_gamma 90.00
loop_
_atom_site_label
_atom_site_fract_x
_atom_site_fract_y
_atom_site_fract_z
_atom_site_occupancy
Ba1 0.000 0.000 0.000 1
Sr1 0.124 0.124 0.376 1
Pb1 0.250 0.250 0.750 1
# Formation enthalpy at 0 K (eV/atom): 0.14

Total magnetization readings, ordered: 2.44; 0.00; 0.00; 0.00; 4.72; 0.00 Bohr magnetons per cell
Raw total energy readings, ordered: -0.1701; -0.0866; -0.1350; -0.1709; -0.2387; -0.0704 hartree per atom